Arrangement one

## CaFe3B (PBEsol)

Data for a geometry-optimized CaFe3B structure.

Properties
Its crystal system is cubic.

```
CaFe3B
1.0
4.305 0.000 0.000
0.000 4.305 0.000
0.000 0.000 4.305
Ca Fe B
1 3 1
Cartesian
0.000 0.000 0.000
0.000 0.000 2.152
0.000 2.152 0.000
2.152 0.000 0.000
2.152 2.152 2.152
```

=====

Arrangement two

## CaFe3B (PBEsol)

Data for a geometry-optimized CaFe3B structure.

Properties
Its crystal system is cubic.

```
CaFe3B
1.0
3.969 0.000 0.000
0.000 3.969 0.000
0.000 0.000 3.969
Ca Fe B
1 3 1
Cartesian
0.000 0.000 0.000
0.000 1.984 1.984
1.984 0.000 1.984
1.984 1.984 0.000
1.984 1.984 1.984
```

=====

Relative stability in eV/atom, measured from the most stable structure: arrangement one 2.631; arrangement two 0.000

=====

Arrangement one

## CaB2O4 (PBEsol)

Data for a geometry-optimized CaB2O4 structure.

Properties
Its crystal system is orthorhombic.

```
CaB2O4
1.0
8.345 0.000 0.000
0.000 13.829 0.000
0.000 0.000 5.009
Ca B O
8 16 32
Cartesian
0.967 1.994 0.607
0.967 4.921 3.111
3.205 1.994 3.111
3.205 4.921 0.607
5.139 8.908 4.402
5.139 11.835 1.898
7.377 8.908 1.898
7.377 11.835 4.402
0.297 8.807 4.381
0.297 11.936 1.877
2.051 7.594 0.645
2.051 13.149 3.149
2.122 7.594 3.149
2.122 13.149 0.645
3.876 8.807 1.877
3.876 11.936 4.381
4.469 1.893 0.628
4.469 5.021 3.132
6.223 0.680 4.363
6.223 6.234 1.859
6.294 0.680 1.859
6.294 6.234 4.363
8.048 1.893 3.132
8.048 5.021 0.628
0.839 8.421 0.573
0.839 12.322 3.077
0.889 2.578 3.150
0.889 4.336 0.646
0.918 8.467 3.206
0.918 12.276 0.702
2.018 0.143 4.401
2.018 6.772 1.896
2.154 0.143 1.896
2.154 6.772 4.401
3.254 8.467 0.702
3.254 12.276 3.206
3.283 2.578 0.646
3.283 4.336 3.150
3.334 8.421 3.077
3.334 12.322 0.573
5.011 1.507 4.436
5.011 5.407 1.932
5.061 9.492 1.859
5.061 11.251 4.363
5.090 1.553 1.803
5.090 5.362 4.307
6.190 7.057 0.608
6.190 13.686 3.112
6.326 7.057 3.112
6.326 13.686 0.608
7.427 1.553 4.307
7.427 5.362 1.803
7.456 9.492 4.363
7.456 11.251 1.859
7.506 1.507 1.932
7.506 5.407 4.436
```

=====

Arrangement two

## CaB2O4 (PBEsol)

Data for a geometry-optimized CaB2O4 structure.

Properties
Its crystal system is orthorhombic.

```
CaB2O4
1.0
11.357 0.000 0.000
0.000 6.372 0.000
0.000 0.000 11.283
Ca B O
12 24 48
Cartesian
0.375 1.025 0.000
0.816 3.527 8.657
2.798 0.716 6.140
2.881 3.902 0.499
4.863 0.341 3.016
5.304 4.211 5.642
6.054 2.161 0.000
6.495 6.030 8.657
8.477 2.470 6.140
8.559 5.656 0.499
10.541 2.845 3.016
10.982 5.347 5.642
0.280 2.393 5.801
0.404 0.126 8.390
1.572 4.784 3.432
2.013 0.628 2.364
2.413 3.948 5.709
2.825 2.662 3.573
2.854 5.848 9.214
3.265 0.762 0.068
3.666 3.814 8.005
4.106 1.598 9.073
5.275 3.312 2.748
5.399 5.579 0.160
5.959 0.793 5.801
6.082 3.060 8.390
7.251 4.774 3.432
7.691 2.558 2.364
8.092 5.610 5.709
8.504 0.524 3.573
8.532 3.710 9.214
8.944 2.424 0.068
9.345 5.744 8.005
9.785 1.588 9.073
10.954 6.246 2.748
11.078 3.979 0.160
0.051 5.085 3.330
0.489 0.868 2.393
0.515 1.072 5.900
0.827 3.381 10.900
1.215 3.321 6.377
1.625 3.366 3.136
1.730 6.224 8.259
1.959 5.063 4.839
2.266 5.561 2.404
2.411 1.301 1.114
2.465 6.170 10.591
2.664 1.222 3.513
3.015 4.408 9.155
3.213 2.984 4.950
3.268 4.487 6.756
3.412 2.375 8.046
3.720 1.877 10.481
3.949 3.038 2.617
4.054 0.180 8.777
4.464 0.135 0.735
4.852 0.195 5.258
5.163 4.258 0.259
5.190 4.054 8.034
5.628 1.899 8.972
5.729 4.472 3.330
6.167 2.317 2.393
6.194 2.114 5.900
6.505 6.177 10.900
6.893 6.237 6.377
7.304 6.192 3.136
7.409 3.334 8.259
7.637 4.495 4.839
7.945 3.997 2.404
8.090 1.885 1.114
8.144 3.388 10.591
8.343 1.964 3.513
8.694 5.150 9.155
8.892 0.202 4.950
8.946 5.071 6.756
9.091 0.811 8.046
9.399 1.309 10.481
9.628 0.148 2.617
9.732 3.006 8.777
10.143 3.051 0.735
10.531 2.991 5.258
10.842 5.300 0.259
10.869 5.503 8.034
11.307 1.287 8.972
```

=====

Relative stability in eV/atom, measured from the most stable structure: arrangement one 0.000; arrangement two 0.010

=====

Arrangement one

## CaB2O4 (PBEsol)

Data for a geometry-optimized CaB2O4 structure.

Properties
Its crystal system is cubic.

```
CaB2O4
1.0
8.994 0.000 0.000
0.000 8.994 0.000
0.000 0.000 8.994
Ca B O
12 24 48
Cartesian
0.000 0.000 0.000
0.000 4.497 4.497
1.142 5.638 7.852
1.142 7.852 3.355
3.355 1.142 7.852
3.355 3.355 3.355
4.497 0.000 4.497
4.497 4.497 0.000
5.638 5.638 5.638
5.638 7.852 1.142
7.852 1.142 5.638
7.852 3.355 1.142
1.076 1.714 3.115
1.076 2.783 7.612
1.382 5.573 1.714
1.382 7.918 6.211
1.714 1.382 5.573
1.714 3.115 1.076
2.783 5.879 5.573
2.783 7.612 1.076
3.115 1.076 1.714
3.115 3.421 6.211
3.421 6.211 3.115
3.421 7.280 7.612
5.573 1.714 1.382
5.573 2.783 5.879
5.879 5.573 2.783
5.879 7.918 7.280
6.211 1.382 7.918
6.211 3.115 3.421
7.280 5.879 7.918
7.280 7.612 3.421
7.612 1.076 2.783
7.612 3.421 7.280
7.918 6.211 1.382
7.918 7.280 5.879
0.064 0.811 2.535
0.064 3.685 7.032
0.811 1.962 4.560
0.811 2.535 0.064
1.089 1.490 6.921
1.089 3.007 2.425
1.490 6.569 5.586
1.490 6.921 1.089
1.962 4.560 0.811
1.962 8.930 5.308
2.072 5.586 3.007
2.072 7.905 7.504
2.425 1.089 3.007
2.425 3.408 7.504
2.535 0.064 0.811
2.535 4.433 5.308
3.007 2.072 5.586
3.007 2.425 1.089
3.408 5.987 6.921
3.408 7.504 2.425
3.685 6.459 4.560
3.685 7.032 0.064
4.433 5.308 2.535
4.433 8.182 7.032
4.560 0.811 1.962
4.560 3.685 6.459
5.308 1.962 8.930
5.308 2.535 4.433
5.586 1.490 6.569
5.586 3.007 2.072
5.987 6.569 7.905
5.987 6.921 3.408
6.459 4.560 3.685
6.459 8.930 8.182
6.569 5.586 1.490
6.569 7.905 5.987
6.921 1.089 1.490
6.921 3.408 5.987
7.032 0.064 3.685
7.032 4.433 8.182
7.504 2.072 7.905
7.504 2.425 3.408
7.905 5.987 6.569
7.905 7.504 2.072
8.182 6.459 8.930
8.182 7.032 4.433
8.930 5.308 1.962
8.930 8.182 6.459
```

=====

Arrangement two

## CaB2O4 (PBEsol)

Data for a geometry-optimized CaB2O4 structure.

Properties
Its crystal system is orthorhombic.

```
CaB2O4
1.0
11.571 0.000 0.000
0.000 4.292 0.000
0.000 0.000 6.170
Ca B O
4 8 16
Cartesian
0.000 0.962 1.542
0.000 3.330 4.627
5.786 1.184 4.627
5.786 3.108 1.542
2.223 1.410 3.870
2.223 2.881 0.785
3.562 0.735 0.785
3.562 3.556 3.870
8.009 0.735 2.300
8.009 3.556 5.385
9.348 1.410 5.385
9.348 2.881 2.300
0.988 0.973 3.644
0.988 3.318 0.559
2.400 1.492 0.931
2.400 2.799 4.016
3.386 0.653 4.016
3.386 3.638 0.931
4.798 1.173 0.559
4.798 3.119 3.644
6.774 1.173 2.526
6.774 3.119 5.611
8.186 0.653 5.239
8.186 3.638 2.154
9.172 1.492 2.154
9.172 2.799 5.239
10.584 0.973 5.611
10.584 3.318 2.526
```

=====

Relative stability in eV/atom, measured from the most stable structure: arrangement one 0.000; arrangement two 0.043

=====

Arrangement one

## CaB3O6 (PBEsol)

Data for a geometry-optimized CaB3O6 structure.

Properties
Its crystal system is monoclinic.

```
CaB3O6
1.0
6.573 0.000 0.000
0.000 10.192 0.000
-3.060 0.000 5.966
Ca B O
4 12 24
Cartesian
-0.193 0.742 1.731
-1.723 4.354 4.714
5.236 5.838 1.252
3.706 9.451 4.235
-1.041 1.193 5.410
0.489 3.903 2.427
1.677 5.869 1.363
0.147 9.420 4.346
-0.277 7.417 5.771
1.254 7.871 2.788
2.259 2.321 3.178
3.789 2.775 0.195
3.365 0.772 1.619
1.835 4.324 4.602
3.024 6.289 3.538
4.554 8.999 0.556
-2.472 1.294 5.565
-0.942 3.802 2.582
-0.673 0.425 4.198
0.857 4.671 1.216
0.818 6.978 1.852
-0.712 8.311 4.834
2.132 6.217 0.007
0.602 9.072 2.990
-0.376 2.508 5.389
1.154 2.588 2.406
2.263 0.452 0.694
0.732 4.645 3.677
2.780 5.548 2.289
1.250 9.741 5.271
2.358 7.604 3.560
3.888 7.684 0.577
2.911 1.121 2.976
1.381 3.975 5.959
4.225 1.881 1.131
2.695 3.215 4.114
2.655 5.521 4.750
4.185 9.767 1.767
4.455 6.390 3.383
5.985 8.899 0.401
```

=====

Arrangement two

## CaB3O6 (PBEsol)

Data for a geometry-optimized CaB3O6 structure.

Properties
Its crystal system is orthorhombic.

```
CaB3O6
1.0
13.692 0.000 0.000
0.000 6.944 0.000
0.000 0.000 4.378
Ca B O
4 12 24
Cartesian
1.232 1.677 0.000
5.614 5.149 2.189
8.077 1.796 0.000
12.460 5.268 2.189
1.044 5.044 4.121
2.002 6.000 1.889
3.203 4.284 0.633
3.643 0.812 2.822
4.844 2.528 4.079
5.801 1.572 1.931
7.890 5.372 4.121
8.848 4.416 1.889
10.049 6.132 0.633
10.488 2.660 2.822
11.689 0.944 4.079
12.647 1.900 1.931
0.307 2.225 2.319
1.017 5.362 2.713
1.348 6.245 0.569
2.024 3.951 0.010
2.406 0.341 2.470
3.223 5.195 1.662
3.622 1.722 3.852
4.440 3.813 0.281
4.822 0.478 2.199
5.497 2.773 2.758
5.828 1.889 0.523
6.538 5.697 0.130
7.153 1.247 2.319
7.863 5.055 2.713
8.194 4.172 0.569
8.869 6.466 0.010
9.252 3.132 2.470
10.069 5.222 1.662
10.468 1.750 3.852
11.285 6.604 0.281
11.668 2.994 2.199
12.343 0.700 2.758
12.674 1.583 0.523
13.384 4.719 0.130
```

=====

Relative stability in eV/atom, measured from the most stable structure: arrangement one 0.005; arrangement two 0.000